# 1
Computed, not measured: an optimized crystal structure of CaEuDyY at the PBE level of DFT.

Lattice parameters (Å, degrees): 5.862 5.862 5.862 60.00 60.00 60.00
Last column: magnetic moment on the atom in μB.
Fractional coordinates of all 4 atoms:
1 Eu 0.750 0.750 0.750  6.87
2 Y 0.250 0.250 0.250  0.05
3 Ca 0.000 0.000 0.000  0.02
4 Dy 0.500 0.500 0.500  0.09

Summary:
**Volume**: 35.6 Å³ per atom
**Raw total energy**: -5.686 eV/atom
**Distance to the lowest polymorph of the same formula**: 0 meV/atom
**Density**: 5.17 g cm⁻³
**Energy of formation from the pure elements**: 0.150 eV/atom



# 2
Computed, not measured: an optimized crystal structure of Ca2DyF8 at the PBE level of DFT.

Lattice parameters (Å, degrees): 3.888 6.025 6.794 116.32 106.63 90.00
Last column: magnetic moment on the atom in μB.
Fractional coordinates of all 11 atoms:
1 Ca 0.186 0.686 0.372  0.00
2 Ca 0.814 0.314 0.628  0.00
3 F 0.658 0.896 0.317  0.00
4 F 0.342 0.579 0.683  0.00
5 F 0.113 0.113 0.225  0.10
6 F 0.000 0.332 0.000  0.35
7 F 0.887 0.887 0.775  0.10
8 F 0.658 0.421 0.317  0.00
9 F 0.342 0.104 0.683  0.00
10 F 0.000 0.668 0.000  0.35
11 Dy 0.500 0.000 0.000  -0.01

Summary:
**Volume**: 12.3 Å³ per atom
**Raw total energy**: -5.680 eV/atom
**Density**: 4.85 g cm⁻³
**Formation energy (no corrections)**: -38.90 eV/f.u.